Compound: SrInCl
Source: Alexandria
Functional: GGA-PBE
Structure: relaxed Values from VASP.

Quantum ESPRESSO input file:
```
&SYSTEM
  ibrav = 0, nat = 3, ntyp = 3
/
ATOMIC_SPECIES
Sr 87.62 Sr.upf
In 114.82 In.upf
Cl 35.45 Cl.upf
ATOMIC_POSITIONS angstrom
Sr 0.000 0.000 0.000
In 2.018 1.165 5.661
Cl 0.000 2.330 1.668
CELL_PARAMETERS angstrom
4.035 0.000 0.000
-2.018 3.495 0.000
0.000 0.000 8.301
```

Results
Its uncorrected formation energy is -0.955 eV/atom. As for the energy above the most stable polymorph in this dataset: 18.1 meV per atom. The size of the total moment comes out at 0.000 μB/cell. As for the symmetry: No. 156. The volume is 117 Å³ per cell.